1.
Compound: Na2NdPaBi4
Source: the Alexandria database
Functional: PBE
Structure: relaxed

Structure (POSCAR):
```
Na2NdPaBi4
1.0
7.4139 0.0000 0.0000
0.0000 4.7627 0.0000
-3.0696 0.0000 7.7280
Na Nd Pa Bi
2 1 1 4
Cartesian
0.0000 0.0000 0.0000
-1.5348 2.3814 3.8640
2.1721 0.0000 3.8640
3.7069 2.3814 0.0000
1.2109 2.3814 1.8877
-0.3441 0.0000 5.9211
4.6884 0.0000 1.8069
3.1334 2.3814 5.8402
```

Fermi-level density of states, states/eV/f.u.: 7.98
Energy relative to the elements, eV per atom: -0.273
Total energy, eV/atom: -4.33



2.
Compound: NdCuSb
Source: the Alexandria database
Functional: PBE
Structure: relaxed

Structure (POSCAR):
```
NdCuSb
1.0
4.2056 0.0000 0.0000
0.0000 4.2056 0.0000
0.0000 0.0000 8.6923
Nd Cu Sb
2 2 2
Cartesian
0.0000 0.0000 0.0000
2.1028 2.1028 4.3462
0.0000 0.0000 2.9519
2.1028 2.1028 7.2980
0.0000 0.0000 5.5980
2.1028 2.1028 1.2518
```

Fermi-level density of states, states/eV/f.u.: 1.31
ΔE_f (raw), meV per atom: -313
Total energy, eV/atom: -4.64



3.
Compound: CaHN2F
Source: the Alexandria database
Functional: PBE
Structure: relaxed

Structure (POSCAR):
```
CaHN2F
1.0
5.1046 0.0000 0.0000
0.0000 5.1046 0.0000
0.0000 0.0000 4.3634
Ca H N F
1 1 2 1
Cartesian
0.0000 0.0000 0.0000
2.5523 2.5523 2.1817
0.0000 2.5523 0.0000
2.5523 0.0000 0.0000
0.0000 0.0000 2.1817
```

Distance to the lowest polymorph of the same formula, meV/atom: 854.0
Fermi-level density of states, states/eV/f.u.: 1.53
Total energy, eV/atom: -3.89



4.
Compound: Sc2AlS
Source: the Alexandria database
Functional: PBE
Structure: relaxed

Structure (POSCAR):
```
Sc2AlS
1.0
3.4834 0.0000 0.0000
-1.7417 3.0168 0.0000
0.0000 0.0000 22.6954
Sc Al S
6 3 3
Cartesian
0.0000 0.0000 0.0000
0.0000 0.0000 4.4472
0.0000 2.0112 15.1302
0.0000 2.0112 19.5774
1.7417 1.0056 7.5651
1.7417 1.0056 12.0123
0.0000 0.0000 9.7844
0.0000 2.0112 2.2193
1.7417 1.0056 17.3496
0.0000 0.0000 13.5931
0.0000 2.0112 6.0280
1.7417 1.0056 21.1582
```

Distance to the lowest polymorph of the same formula, meV/atom: 0.0
Fermi-level density of states, states/eV/f.u.: 2.32
ΔE_f (raw), meV per atom: -1047
Total energy, eV/atom: -6.18



5.
Compound: KPdI2N
Source: the Alexandria database
Functional: PBE
Structure: relaxed

Structure (POSCAR):
```
KPdI2N
1.0
5.9755 0.0000 0.0000
0.0000 5.9755 0.0000
0.0000 0.0000 3.8413
K Pd I N
1 1 2 1
Cartesian
0.0000 0.0000 0.0000
2.9878 2.9878 1.9207
0.0000 2.9878 1.9207
2.9878 0.0000 1.9207
2.9878 2.9878 0.0000
```

Distance to the lowest polymorph of the same formula, meV/atom: 0.0
Fermi-level density of states, states/eV/f.u.: 2.40
ΔE_f (raw), meV per atom: 6
Total energy, eV/atom: -3.54



6.
Compound: Dy4Er3Al
Source: the Alexandria database
Functional: PBE
Structure: relaxed

Structure (POSCAR):
```
Dy4Er3Al
1.0
3.5176 0.0000 0.0000
0.0000 3.5176 0.0000
0.0000 0.0000 18.9224
Dy Er Al
4 3 1
Cartesian
0.0000 0.0000 1.9175
0.0000 0.0000 6.9502
0.0000 0.0000 11.9722
0.0000 0.0000 17.0049
1.7588 1.7588 4.4747
1.7588 1.7588 9.4612
1.7588 1.7588 14.4477
1.7588 1.7588 0.0000
```

Fermi-level density of states, states/eV/f.u.: 10.28
Energy relative to the elements, eV per atom: -0.081
Total energy, eV/atom: -4.56



7.
Compound: Li2YHfSe4
Source: the Alexandria database
Functional: PBE
Structure: relaxed

Structure (POSCAR):
```
Li2YHfSe4
1.0
6.7877 0.0000 0.0000
0.0000 3.8894 0.0000
-2.2336 0.0000 6.5282
Li Y Hf Se
2 1 1 4
Cartesian
0.0000 0.0000 0.0000
3.3939 1.9447 0.0000
-1.1168 1.9447 3.2641
2.2771 0.0000 3.2641
1.2269 1.9447 1.6419
0.1158 0.0000 4.9317
4.4383 0.0000 1.5965
3.3272 1.9447 4.8863
```

Fermi-level density of states, states/eV/f.u.: 2.52
ΔE_f (raw), meV per atom: -1465
Total energy, eV/atom: -5.74



8.
Compound: YAg2Pb2
Source: the Alexandria database
Functional: PBE
Structure: relaxed

Structure (POSCAR):
```
YAg2Pb2
1.0
8.0435 0.0000 0.0000
0.0000 8.0435 0.0000
0.0000 0.0000 3.8956
Y Ag Pb
2 4 4
Cartesian
0.0000 0.0000 0.0000
4.0218 4.0218 0.0000
0.9748 3.0470 0.0000
3.0470 7.0687 0.0000
4.9966 0.9748 0.0000
7.0687 4.9966 0.0000
1.4616 5.4834 1.9478
2.5602 1.4616 1.9478
5.4834 6.5819 1.9478
6.5819 2.5602 1.9478
```

Distance to the lowest polymorph of the same formula, meV/atom: 0.0
Fermi-level density of states, states/eV/f.u.: 2.30
Energy relative to the elements, eV per atom: -0.107
Total energy, eV/atom: -4.02



9.
Compound: RbSc3Pd
Source: the Alexandria database
Functional: PBE
Structure: relaxed

Structure (POSCAR):
```
RbSc3Pd
1.0
4.9169 0.0000 0.0000
0.0000 4.9169 0.0000
0.0000 0.0000 4.9169
Rb Sc Pd
1 3 1
Cartesian
0.0000 0.0000 0.0000
0.0000 0.0000 2.4584
0.0000 2.4584 0.0000
2.4584 0.0000 0.0000
2.4584 2.4584 2.4584
```

Distance to the lowest polymorph of the same formula, meV/atom: 1310.2
Fermi-level density of states, states/eV/f.u.: 3.12
Energy relative to the elements, eV per atom: 1.452
Total energy, eV/atom: -3.58



10.
Compound: NaU2S6
Source: the Alexandria database
Functional: PBE
Structure: relaxed

Structure (POSCAR):
```
NaU2S6
1.0
3.4085 -4.0019 0.0000
3.4085 4.0019 0.0000
-1.1121 0.0000 7.5180
Na U S
1 2 6
Cartesian
0.0000 0.0000 0.0000
2.8524 2.0033 3.7590
2.8524 -2.0033 3.7590
1.1540 1.0623 5.8076
1.1405 0.0000 2.7427
1.1540 -1.0623 5.8076
4.5509 1.0623 1.7104
4.5644 0.0000 4.7753
4.5509 -1.0623 1.7104
```

Distance to the lowest polymorph of the same formula, meV/atom: 60.5
Fermi-level density of states, states/eV/f.u.: 10.56
ΔE_f (raw), meV per atom: -1034
Total energy, eV/atom: -6.44



11.
Compound: Zr2TcHPb
Source: the Alexandria database
Functional: PBE
Structure: relaxed

Structure (POSCAR):
```
Zr2TcHPb
1.0
4.5314 0.0000 0.0000
0.0000 4.5314 0.0000
0.0000 0.0000 4.0491
Zr Tc H Pb
2 1 1 1
Cartesian
0.0000 2.2657 0.0000
2.2657 0.0000 0.0000
0.0000 0.0000 2.0246
0.0000 0.0000 0.0000
2.2657 2.2657 2.0246
```

Fermi-level density of states, states/eV/f.u.: 4.33
Total energy, eV/atom: -7.07



12.
Compound: Sc2AlIr
Source: the Alexandria database
Functional: PBE
Structure: relaxed

Structure (POSCAR):
```
Sc2AlIr
1.0
3.1540 0.0000 0.0000
-1.5770 2.7314 0.0000
0.0000 0.0000 26.6395
Sc Al Ir
6 3 3
Cartesian
0.0000 0.0000 6.4666
0.0000 0.0000 20.1729
0.0000 1.8210 11.2931
0.0000 1.8210 24.2263
1.5770 0.9105 2.4132
1.5770 0.9105 15.3464
0.0000 0.0000 0.0000
0.0000 1.8210 17.7597
1.5770 0.9105 8.8798
0.0000 0.0000 13.3198
0.0000 1.8210 4.4399
1.5770 0.9105 22.1996
```

Distance to the lowest polymorph of the same formula, meV/atom: 350.6
Fermi-level density of states, states/eV/f.u.: 2.56
Energy relative to the elements, eV per atom: -0.402
Total energy, eV/atom: -6.72